1.
Density functional theory data (PBE-GGA) for crystalline TaHg12F7 at its relaxed geometry.

energy relative to the elements, uncorrected = -107.7 kJ/mol of atoms

abc: 11.245 11.245 11.245
angles: 118.41 118.41 118.41
Fractional coordinates of all 20 atoms:
Ta 0.000 0.000 0.000
Hg 0.084 0.500 0.916
Hg 0.084 0.916 0.500
Hg 0.110 0.447 0.447
Hg 0.447 0.110 0.447
Hg 0.447 0.447 0.110
Hg 0.500 0.084 0.916
Hg 0.500 0.916 0.084
Hg 0.553 0.553 0.890
Hg 0.553 0.890 0.553
Hg 0.890 0.553 0.553
Hg 0.916 0.084 0.500
Hg 0.916 0.500 0.084
F 0.114 0.114 0.284
F 0.114 0.284 0.114
F 0.284 0.114 0.114
F 0.500 0.500 0.500
F 0.716 0.886 0.886
F 0.886 0.716 0.886
F 0.886 0.886 0.716

***

2.
Density functional theory data (PBE-GGA) for crystalline Tb2HgF8 at its relaxed geometry.

energy relative to the elements, uncorrected = -326.6 kJ/mol of atoms

abc: 7.732 7.732 5.609
angles: 108.37 108.37 27.40
Fractional coordinates of all 11 atoms:
Tb 0.180 0.180 0.189
Tb 0.820 0.820 0.811
Hg 0.500 0.500 0.500
F 0.045 0.045 0.310
F 0.217 0.217 0.831
F 0.316 0.316 0.537
F 0.400 0.400 0.034
F 0.600 0.600 0.966
F 0.684 0.684 0.463
F 0.783 0.783 0.169
F 0.955 0.955 0.690

***

3.
Density functional theory data (PBE-GGA) for crystalline Tb2HgF at its relaxed geometry.

energy relative to the elements, uncorrected = -127.5 kJ/mol of atoms

abc: 7.442 7.442 7.442
angles: 37.36 37.36 37.36
Fractional coordinates of all 4 atoms:
Tb 0.106 0.106 0.106
Tb 0.894 0.894 0.894
Hg 0.500 0.500 0.500
F 0.000 0.000 0.000

***

4.
Density functional theory data (PBE-GGA) for crystalline Tb4Hg2F at its relaxed geometry.

energy relative to the elements, uncorrected = -86.2 kJ/mol of atoms

abc: 8.712 8.712 8.712
angles: 148.54 148.54 45.10
Fractional coordinates of all 7 atoms:
Tb 0.000 0.500 0.500
Tb 0.187 0.187 0.000
Tb 0.500 0.000 0.500
Tb 0.813 0.813 0.000
Hg 0.370 0.370 0.000
Hg 0.630 0.630 0.000
F 0.000 0.000 0.000

***

5.
Density functional theory data (PBE-GGA) for crystalline TbTlHgF6 at its relaxed geometry.

energy relative to the elements, uncorrected = -258.2 kJ/mol of atoms

abc: 6.251 6.251 5.507
angles: 90.00 90.00 120.00
Fractional coordinates of all 9 atoms:
Tb 0.000 0.000 0.000
Tl 0.667 0.333 0.500
Hg 0.333 0.667 0.000
F 0.034 0.317 0.212
F 0.034 0.717 0.788
F 0.283 0.317 0.788
F 0.283 0.966 0.212
F 0.683 0.717 0.212
F 0.683 0.966 0.788

***

6.
Density functional theory data (PBE-GGA) for crystalline TcHgF4 at its relaxed geometry.

energy relative to the elements, uncorrected = -141.6 kJ/mol of atoms

abc: 6.699 5.236 6.803
angles: 90.00 98.44 90.00
Fractional coordinates of all 12 atoms:
Tc 0.118 0.250 0.211
Tc 0.882 0.750 0.789
Hg 0.295 0.750 0.764
Hg 0.705 0.250 0.236
F 0.054 0.250 0.918
F 0.147 0.250 0.496
F 0.323 0.002 0.213
F 0.323 0.498 0.213
F 0.677 0.502 0.787
F 0.677 0.998 0.787
F 0.853 0.750 0.504
F 0.946 0.750 0.082

***

7.
Density functional theory data (PBE-GGA) for crystalline TcHgF at its relaxed geometry.

energy relative to the elements, uncorrected = -51.5 kJ/mol of atoms

abc: 7.982 7.982 5.761
angles: 93.15 93.15 20.83
Fractional coordinates of all 6 atoms:
Tc 0.000 0.000 0.000
Tc 0.034 0.034 0.646
Hg 0.346 0.346 0.911
Hg 0.684 0.684 0.781
F 0.090 0.090 0.261
F 0.459 0.459 0.460

***

8.
Density functional theory data (PBE-GGA) for crystalline TcHg3F at its relaxed geometry.

energy relative to the elements, uncorrected = 38.5 kJ/mol of atoms

abc: 5.406 5.406 5.406
angles: 90.00 90.00 90.00
Fractional coordinates of all 5 atoms:
Tc 0.000 0.000 0.000
Hg 0.000 0.000 0.500
Hg 0.000 0.500 0.000
Hg 0.500 0.000 0.000
F 0.500 0.500 0.500

***

In A^3/atom, the V values for the records above are, in order, 23.10 13.27 34.02 25.66 20.71 19.67 21.72 31.60.